{
  "formula": "Cs2KMoO4",
  "functional": "PBE with a Hubbard U",
  "state": "relaxed",
  "space_group": "I-4, No. 82",
  "final_energy_ev_per_fu": -43.15,
  "lattice_angstrom": [[-1.3177, -4.5527, -4.2823], [5.7286, 2.7685, -0.5658], [0.6166, -1.9700, 6.0449]],
  "species": ["O", "O", "O", "O", "Cs", "Cs", "K", "Mo"],
  "frac_coords": [[0.0383, 0.2416, 0.5812], [0.6604, 0.4188, 0.4570], [0.3396, 0.7967, 0.7584], [0.9617, 0.5430, 0.2033], [0.0000, 0.0000, 0.0000], [0.5000, 0.7500, 0.2500], [0.5000, 0.2500, 0.7500], [0.0000, 0.5000, 0.5000]]
}